[1]
Entry from Alexandria via LeMat-Bulk: MnGa2Fe8 after structural relaxation (GGA-PBE).

## Properties
* density of states at the Fermi level: 23.06 states/eV per cell
* energy of formation from the pure elements: 17 kJ/mol of atoms

```
data_MnGa2Fe8
_cell_length_a 12.502
_cell_length_b 4.720
_cell_length_c 4.740
_cell_angle_alpha 90.00
_cell_angle_beta 98.13
_cell_angle_gamma 90.00
_symmetry_space_group_name_H-M 'C 1 2/m 1'
_symmetry_Int_Tables_number 12
loop_
_symmetry_equiv_pos_as_xyz
'x,y,z'
'-x,-y,-z'
'-x,y,-z'
'x,-y,z'
'x+1/2,y+1/2,z'
'-x+1/2,-y+1/2,-z'
'-x+1/2,y+1/2,-z'
'x+1/2,-y+1/2,z'
loop_
_atom_site_label
_atom_site_type_symbol
_atom_site_fract_x
_atom_site_fract_y
_atom_site_fract_z
_atom_site_occupancy
Mn1 Mn 0.000 0.000 0.000 1
Ga1 Ga 0.195 0.000 0.840 1
Fe1 Fe 0.084 0.254 0.429 1
Fe2 Fe 0.089 0.500 0.927 1
Fe3 Fe 0.248 0.000 0.351 1
```

***

[2]
Entry from Alexandria via LeMat-Bulk: FeCo3Ni5 after structural relaxation (GGA-PBE).

## Properties
* density of states at the Fermi level: 25.08 states/eV per cell
* energy of formation from the pure elements: 10 kJ/mol of atoms

```
data_FeCo3Ni5
_cell_length_a 6.9127
_cell_length_b 6.9127
_cell_length_c 4.8763
_cell_angle_alpha 90.00
_cell_angle_beta 90.00
_cell_angle_gamma 120.00
_symmetry_space_group_name_H-M 'P 63/m c m'
_symmetry_Int_Tables_number 193
_symmetry_space_group_name_Hall '-P 6c 2'
loop_
_atom_site_label
_atom_site_type_symbol
_atom_site_fract_x
_atom_site_fract_y
_atom_site_fract_z
_atom_site_occupancy
Fe1 Fe 0.0000 0.0000 0.0000 1
Co1 Co 0.0000 0.3282 0.2500 1
Ni1 Ni 0.0000 0.3369 0.7500 1
Ni2 Ni 0.3333 0.6667 0.0000 1
```

***

[3]
Entry from Alexandria via LeMat-Bulk: InCuRh2F after structural relaxation (GGA-PBE).

## Properties
* density of states at the Fermi level: 3.71 states/eV per cell
* distance to the lowest polymorph of the same formula: 0 meV per atom
* raw formation energy: 0.31 eV/atom

```
data_InCuRh2F
_cell_length_a 4.239
_cell_length_b 4.239
_cell_length_c 4.539
_cell_angle_alpha 90.00
_cell_angle_beta 90.00
_cell_angle_gamma 90.00
_symmetry_space_group_name_H-M 'P 4/m m m'
_symmetry_Int_Tables_number 123
_symmetry_space_group_name_Hall '-P 4 2'
loop_
_atom_site_label
_atom_site_type_symbol
_atom_site_fract_x
_atom_site_fract_y
_atom_site_fract_z
_atom_site_occupancy
In1 In 0.000 0.000 0.000 1
Cu1 Cu 0.500 0.500 0.000 1
Rh1 Rh 0.000 0.500 0.500 1
F1 F 0.000 0.000 0.500 1
```

***

[4]
Entry from Alexandria via LeMat-Bulk: CaMgNi3 after structural relaxation (GGA-PBE).

## Properties
* density of states at the Fermi level: 2.46 states/eV per cell
* distance to the lowest polymorph of the same formula: 599 meV per atom
* energy of formation from the pure elements: 111 kJ/mol of atoms

```
data_CaMgNi3
_cell_length_a 4.591
_cell_length_b 4.591
_cell_length_c 4.591
_cell_angle_alpha 90.00
_cell_angle_beta 90.00
_cell_angle_gamma 90.00
_symmetry_space_group_name_H-M 'P m -3 m'
_symmetry_Int_Tables_number 221
_symmetry_space_group_name_Hall '-P 4 2 3'
loop_
_atom_site_label
_atom_site_type_symbol
_atom_site_fract_x
_atom_site_fract_y
_atom_site_fract_z
_atom_site_occupancy
Ca1 Ca 0.000 0.000 0.000 1
Mg1 Mg 0.500 0.500 0.500 1
Ni1 Ni 0.000 0.000 0.500 1
```

***

[5]
Entry from Alexandria via LeMat-Bulk: YbPrPd2 after structural relaxation (GGA-PBE).

## Properties
* density of states at the Fermi level: 64.39 states/eV per cell
* energy of formation from the pure elements: -75 kJ/mol of atoms

```
data_YbPrPd2
_cell_length_a 7.159
_cell_length_b 7.159
_cell_length_c 7.159
_cell_angle_alpha 90.00
_cell_angle_beta 90.00
_cell_angle_gamma 90.00
_symmetry_space_group_name_H-M 'F m -3 m'
_symmetry_Int_Tables_number 225
_symmetry_space_group_name_Hall '-F 4 2 3'
loop_
_atom_site_label
_atom_site_type_symbol
_atom_site_fract_x
_atom_site_fract_y
_atom_site_fract_z
_atom_site_occupancy
Yb1 Yb 0.000 0.000 0.000 1
Pr1 Pr 0.000 0.000 0.500 1
Pd1 Pd 0.250 0.250 0.250 1
```

***

[6]
Entry from Alexandria via LeMat-Bulk: Ta2ReH after structural relaxation (GGA-PBE).

## Properties
* density of states at the Fermi level: 9.46 states/eV per cell
* distance to the lowest polymorph of the same formula: 435 meV per atom

```
data_Ta2ReH
_cell_length_a 6.217
_cell_length_b 6.217
_cell_length_c 6.217
_cell_angle_alpha 90.00
_cell_angle_beta 90.00
_cell_angle_gamma 90.00
_symmetry_space_group_name_H-M 'F m -3 m'
_symmetry_Int_Tables_number 225
_symmetry_space_group_name_Hall '-F 4 2 3'
loop_
_atom_site_label
_atom_site_type_symbol
_atom_site_fract_x
_atom_site_fract_y
_atom_site_fract_z
_atom_site_occupancy
Ta1 Ta 0.250 0.250 0.250 1
Re1 Re 0.000 0.000 0.000 1
H1 H 0.000 0.000 0.500 1
```

***

[7]
Entry from Alexandria via LeMat-Bulk: YTaNF2 after structural relaxation (GGA-PBE).

## Properties
* density of states at the Fermi level: 4.21 states/eV per cell
* distance to the lowest polymorph of the same formula: 0 meV per atom
* raw formation energy: -1.36 eV/atom

```
data_YTaNF2
_cell_length_a 4.246
_cell_length_b 4.246
_cell_length_c 4.111
_cell_angle_alpha 90.00
_cell_angle_beta 90.00
_cell_angle_gamma 90.00
_symmetry_space_group_name_H-M 'P 4/m m m'
_symmetry_Int_Tables_number 123
_symmetry_space_group_name_Hall '-P 4 2'
loop_
_atom_site_label
_atom_site_type_symbol
_atom_site_fract_x
_atom_site_fract_y
_atom_site_fract_z
_atom_site_occupancy
Y1 Y 0.000 0.000 0.000 1
Ta1 Ta 0.500 0.500 0.500 1
N1 N 0.500 0.500 0.000 1
F1 F 0.000 0.500 0.500 1
```

***

[8]
Entry from Alexandria via LeMat-Bulk: MgCdSn after structural relaxation (GGA-PBE).

## Properties
* density of states at the Fermi level: 2.48 states/eV per cell
* energy of formation from the pure elements: -3 kJ/mol of atoms

```
data_MgCdSn
_cell_length_a 4.366
_cell_length_b 3.323
_cell_length_c 9.882
_cell_angle_alpha 90.00
_cell_angle_beta 90.04
_cell_angle_gamma 90.00
_symmetry_space_group_name_H-M 'P 1 m 1'
_symmetry_Int_Tables_number 6
loop_
_symmetry_equiv_pos_as_xyz
'x,y,z'
'x,-y,z'
loop_
_atom_site_label
_atom_site_type_symbol
_atom_site_fract_x
_atom_site_fract_y
_atom_site_fract_z
_atom_site_occupancy
Mg1 Mg 0.000 0.000 0.000 1
Mg2 Mg 0.000 0.000 0.339 1
Cd1 Cd 0.000 0.000 0.653 1
Cd2 Cd 0.499 0.500 0.500 1
Sn1 Sn 0.499 0.500 0.176 1
Sn2 Sn 0.500 0.500 0.835 1
```

***

[9]
Entry from Alexandria via LeMat-Bulk: PRuS2 after structural relaxation (GGA-PBE).

## Properties
* density of states at the Fermi level: 7.68 states/eV per cell
* raw formation energy: 0.41 eV/atom

```
data_PRuS2
_cell_length_a 3.2400
_cell_length_b 3.2400
_cell_length_c 21.5673
_cell_angle_alpha 90.00
_cell_angle_beta 90.00
_cell_angle_gamma 120.00
_symmetry_space_group_name_H-M 'R -3 m'
_symmetry_Int_Tables_number 166
_symmetry_space_group_name_Hall '-R 3 2"'
loop_
_atom_site_label
_atom_site_type_symbol
_atom_site_fract_x
_atom_site_fract_y
_atom_site_fract_z
_atom_site_occupancy
P1 P 0.0000 0.0000 0.0000 1
Ru1 Ru 0.0000 0.0000 0.5000 1
S1 S 0.0000 0.0000 0.3978 1
```

***

[10]
Entry from Alexandria via LeMat-Bulk: La4Sm5Mg after structural relaxation (GGA-PBE).

## Properties
* density of states at the Fermi level: 26.58 states/eV per cell
* distance to the lowest polymorph of the same formula: 156 meV per atom
* energy of formation from the pure elements: 14 kJ/mol of atoms

```
data_La4Sm5Mg
_cell_length_a 10.907
_cell_length_b 10.907
_cell_length_c 5.968
_cell_angle_alpha 90.00
_cell_angle_beta 90.00
_cell_angle_gamma 90.00
_symmetry_space_group_name_H-M 'I 4 m m'
_symmetry_Int_Tables_number 107
_symmetry_space_group_name_Hall 'I 4 -2'
loop_
_atom_site_label
_atom_site_type_symbol
_atom_site_fract_x
_atom_site_fract_y
_atom_site_fract_z
_atom_site_occupancy
La1 La 0.000 0.315 0.000 1
Sm1 Sm 0.000 0.000 0.807 1
Sm2 Sm 0.185 0.185 0.515 1
Mg1 Mg 0.000 0.000 0.287 1
```

***

[11]
Entry from Alexandria via LeMat-Bulk: ThCu2Pd after structural relaxation (GGA-PBE).

## Properties
* density of states at the Fermi level: 8.45 states/eV per cell
* energy of formation from the pure elements: -41 kJ/mol of atoms

```
data_ThCu2Pd
_cell_length_a 7.045
_cell_length_b 4.121
_cell_length_c 9.984
_cell_angle_alpha 90.00
_cell_angle_beta 90.00
_cell_angle_gamma 90.00
_symmetry_space_group_name_H-M 'A m m 2'
_symmetry_Int_Tables_number 38
loop_
_symmetry_equiv_pos_as_xyz
'x,y,z'
'-x,-y,z'
'-x,y,z'
'x,-y,z'
'x,y+1/2,z+1/2'
'-x,-y+1/2,z+1/2'
'-x,y+1/2,z+1/2'
'x,-y+1/2,z+1/2'
loop_
_atom_site_label
_atom_site_type_symbol
_atom_site_fract_x
_atom_site_fract_y
_atom_site_fract_z
_atom_site_occupancy
Th1 Th 0.000 0.000 0.000 1
Th2 Th 0.500 0.000 0.154 1
Cu1 Cu 0.000 0.000 0.295 1
Cu2 Cu 0.312 0.000 0.435 1
Cu3 Cu 0.500 0.000 0.870 1
Pd1 Pd 0.202 0.000 0.702 1
```

***

[12]
Entry from Alexandria via LeMat-Bulk: NaMg15Tl4 after structural relaxation (GGA-PBE).

## Properties
* density of states at the Fermi level: 5.16 states/eV per cell
* energy of formation from the pure elements: -1 kJ/mol of atoms

```
data_NaMg15Tl4
_cell_length_a 4.607
_cell_length_b 4.607
_cell_length_c 22.210
_cell_angle_alpha 90.00
_cell_angle_beta 90.00
_cell_angle_gamma 90.00
_symmetry_space_group_name_H-M 'P 4/m m m'
_symmetry_Int_Tables_number 123
_symmetry_space_group_name_Hall '-P 4 2'
loop_
_atom_site_label
_atom_site_type_symbol
_atom_site_fract_x
_atom_site_fract_y
_atom_site_fract_z
_atom_site_occupancy
Na1 Na 0.000 0.000 0.000 1
Mg1 Mg 0.000 0.500 0.103 1
Mg2 Mg 0.000 0.500 0.301 1
Mg3 Mg 0.000 0.500 0.500 1
Mg4 Mg 0.500 0.500 0.000 1
Mg5 Mg 0.500 0.500 0.202 1
Mg6 Mg 0.500 0.500 0.401 1
Tl1 Tl 0.000 0.000 0.202 1
Tl2 Tl 0.000 0.000 0.400 1
```

***

[13]
Entry from Alexandria via LeMat-Bulk: Ho6Tm3Sc2 after structural relaxation (GGA-PBE).

## Properties
* density of states at the Fermi level: 35.82 states/eV per cell
* energy of formation from the pure elements: 30 kJ/mol of atoms

```
data_Ho6Tm3Sc2
_cell_length_a 4.666
_cell_length_b 4.666
_cell_length_c 31.646
_cell_angle_alpha 90.00
_cell_angle_beta 90.00
_cell_angle_gamma 90.00
_symmetry_space_group_name_H-M 'I 4/m m m'
_symmetry_Int_Tables_number 139
_symmetry_space_group_name_Hall '-I 4 2'
loop_
_atom_site_label
_atom_site_type_symbol
_atom_site_fract_x
_atom_site_fract_y
_atom_site_fract_z
_atom_site_occupancy
Ho1 Ho 0.000 0.000 0.194 1
Ho2 Ho 0.000 0.500 0.116 1
Tm1 Tm 0.000 0.000 0.302 1
Tm2 Tm 0.000 0.000 0.500 1
Sc1 Sc 0.000 0.000 0.044 1
```